Entry from the Alexandria database: a relaxed structure of BaPa2NbN5 (GGA-PBE).

Results
D(E_F), states/eV/cell: 11.7
E_form (uncorrected), meV per atom: -1218
SG: I4/mcm

Geometry as POSCAR:
```
BaPa2NbN5
1.0
-3.406 3.406 5.908
3.406 -3.406 5.908
3.406 3.406 -5.908
Ba Pa Nb N
2 4 2 10
Cartesian
0.000 0.000 2.954
0.000 0.000 8.862
4.630 1.225 0.000
1.225 2.181 0.000
2.181 1.225 5.908
-1.225 2.181 5.908
3.406 0.000 2.954
0.000 3.406 2.954
0.000 0.000 0.000
2.417 0.988 -1.513
2.417 -0.988 4.394
2.417 0.988 1.513
2.417 -0.988 7.421
0.000 0.000 5.908
0.988 4.394 -1.513
0.988 2.417 4.394
0.988 4.394 1.513
0.988 2.417 7.421
```